Record 1
The following is a PBE calculation of Ti2SbPt after structural relaxation, from Alexandria via LeMat-Bulk.

Results
ΔE_f (raw) (eV per atom): -0.3589
Calculated total energy (eV per cell): -54.8
Calculated density (g/cm³): 8.9
Space-group type: I-42d

a b c (Å): 7.3343 7.3343 5.9201
angles (deg): 51.73 51.73 90.00
Atoms (fractional coordinates):
Sb 0.5000 0.5000 0.0000
Sb 0.2500 0.7500 0.5000
Pt 0.0000 0.0000 0.0000
Pt 0.7500 0.2500 0.5000
Ti 0.6522 0.1250 0.2500
Ti 0.0978 0.6250 0.2500
Ti 0.3750 0.3478 0.7500
Ti 0.8750 0.9022 0.7500

Record 2
The following is a PBE calculation of TiSbPt3 after structural relaxation, from Alexandria via LeMat-Bulk.

Results
ΔE_f (raw) (eV per atom): 0.3946
Calculated total energy (eV per cell): -28.2
Calculated density (g/cm³): 11.7
Space-group type: Pm-3m
Energy above the lowest structure with this stoichiometry (meV per atom): 0

a b c (Å): 4.7439 4.7439 4.7439
angles (deg): 90.00 90.00 90.00
Atoms (fractional coordinates):
Sb 0.5000 0.5000 0.5000
Pt 0.0000 0.5000 0.0000
Pt 0.0000 0.0000 0.5000
Pt 0.5000 0.0000 0.0000
Ti 0.0000 0.0000 0.0000